Compound: BaErHg2
Source: Alexandria via LeMat-Bulk
Functional: PBE
Structure: optimized geometry

Volume, Å³/cell: 120.8
D(E_F), states/eV/atom: 0.676
Calculated total energy, eV per atom: -2.24

a b c (Å): 3.8607 3.8607 8.1031
angles (deg): 90.00 90.00 90.00
With the nearest neighbours (Å) after each atom.
Space group P4/mmm (No. 123)
Inequivalent atoms, fractional coordinates:
1 Ba 0.0000 0.0000 0.0000  8 Hg 3.64, 4 Ba 3.86, 2 Er 4.05
2 Er 0.0000 0.0000 0.5000  8 Hg 3.19
3 Hg 0.5000 0.5000 0.2971  4 Er 3.19, 1 Hg 3.29

=====

Compound: CsZrTaRe2
Source: Alexandria via LeMat-Bulk
Functional: PBE
Structure: optimized geometry

Volume, Å³/cell: 117.8
D(E_F), states/eV/atom: 1.692
Calculated total energy, eV per atom: -5.98

a b c (Å): 4.8894 4.8894 4.9265
angles (deg): 90.00 90.00 90.00
With the nearest neighbours (Å) after each atom.
Space group P4/mmm (No. 123)
Inequivalent atoms, fractional coordinates:
1 Cs 0.0000 0.0000 0.0000  4 Re 2.44, 2 Ta 2.46
2 Zr 0.5000 0.5000 0.5000  4 Ta 3.46, 8 Re 3.47
3 Ta 0.0000 0.0000 0.5000  2 Cs 2.46
4 Re 0.0000 0.5000 0.0000  2 Cs 2.44